Record 1
The following is a PBE-GGA calculation of an optimized crystal structure of SrLa2In, from Alexandria via LeMat-Bulk.

abc: 6.2405 7.0957 3.6574
angles: 77.30 85.05 114.68
Last column: nearest neighbours and their distance in Å.
Fractional coordinates of all 4 atoms:
In (0.5000, 0.5000, 0.0000)  4 Sr 3.48-3.75, 4 La 3.62, 2 In 3.66
La (0.0000, 0.0000, 0.0000)  6 La 3.48-3.75, 2 In 3.62, 2 Sr 3.62
La (0.5000, 0.0000, 0.5000)  6 La 3.48-3.75, 2 Sr 3.62, 2 In 3.62
Sr (0.0000, 0.5000, 0.5000)  4 In 3.48-3.75, 4 La 3.62, 2 Sr 3.66

Results
VASP energy (eV/atom): -3.64
Symmetry: C2/m, No. 12
N(E_F) (states/eV/f.u.): 4.9
Size of the total moment (μB/f.u.): 0.00
Formation enthalpy at 0 K (eV per atom): -0.07



Record 2
The following is a PBE-GGA calculation of an optimized crystal structure of CuReOs2, from Alexandria via LeMat-Bulk.

abc: 2.7599 2.7599 7.3698
angles: 90.00 90.00 90.00
Last column: nearest neighbours and their distance in Å.
Fractional coordinates of all 4 atoms:
Cu (0.5000, 0.5000, 0.7500)  8 Os 2.66, 4 Cu 2.76
Os (0.0000, 0.0000, 0.9950)  4 Cu 2.66, 4 Re 2.71, 4 Os 2.76
Os (0.0000, 0.0000, 0.5050)  4 Cu 2.66, 4 Re 2.71, 4 Os 2.76
Re (0.5000, 0.5000, 0.2500)  8 Os 2.71, 4 Re 2.76

Results
VASP energy (eV/atom): -9.50
Symmetry: P4/mmm, No. 123
N(E_F) (states/eV/f.u.): 3.7
Size of the total moment (μB/f.u.): 0.00
Formation enthalpy at 0 K (eV per atom): 0.25



Record 3
The following is a PBE-GGA calculation of an optimized crystal structure of Th2PaRh9, from Alexandria via LeMat-Bulk.

abc: 4.1076 4.1076 12.3370
angles: 90.00 90.00 90.00
Last column: nearest neighbours and their distance in Å.
Fractional coordinates of all 12 atoms:
Th (0.0000, 0.0000, 0.3320)  12 Rh 2.90-2.96
Th (0.0000, 0.0000, 0.6680)  12 Rh 2.90-2.96
Pa (0.0000, 0.0000, 0.0000)  12 Rh 2.84-2.90
Rh (0.5000, 0.5000, 0.0000)  8 Rh 2.84, 4 Pa 2.90
Rh (0.5000, 0.5000, 0.3304)  4 Th 2.90, 8 Rh 2.93-2.95
Rh (0.5000, 0.5000, 0.6696)  4 Th 2.90, 8 Rh 2.93-2.95
Rh (0.5000, 0.0000, 0.1588)  2 Pa 2.84, 8 Rh 2.84-2.95, 2 Th 2.96
Rh (0.5000, 0.0000, 0.5000)  8 Rh 2.90-2.93, 4 Th 2.92
Rh (0.5000, 0.0000, 0.8412)  8 Rh 2.84-2.95, 2 Pa 2.84, 2 Th 2.96
Rh (0.0000, 0.5000, 0.1588)  2 Pa 2.84, 8 Rh 2.84-2.95, 2 Th 2.96
Rh (0.0000, 0.5000, 0.5000)  8 Rh 2.90-2.93, 4 Th 2.92
Rh (0.0000, 0.5000, 0.8412)  8 Rh 2.84-2.95, 2 Pa 2.84, 2 Th 2.96

Results
VASP energy (eV/atom): -8.32
Symmetry: P4/mmm, No. 123
N(E_F) (states/eV/f.u.): 14.9
Size of the total moment (μB/f.u.): 0.00
Formation enthalpy at 0 K (eV per atom): -0.77



Record 4
The following is a PBE-GGA calculation of an optimized crystal structure of SmHgIO, from Alexandria via LeMat-Bulk.

abc: 4.1039 4.1039 13.8717
angles: 90.00 90.00 90.00
Last column: nearest neighbours and their distance in Å.
Fractional coordinates of all 8 atoms:
Sm (0.7500, 0.7500, 0.9199)  4 O 2.33
Sm (0.2500, 0.2500, 0.0801)  4 O 2.33
Hg (0.2500, 0.7500, 0.5000)  4 Hg 2.90
Hg (0.7500, 0.2500, 0.5000)  4 Hg 2.90
I (0.7500, 0.7500, 0.2179)  4 Sm 3.47, 4 O 3.65
I (0.2500, 0.2500, 0.7821)  4 Sm 3.47, 4 O 3.65
O (0.7500, 0.2500, 0.0000)  4 Sm 2.33
O (0.2500, 0.7500, 0.0000)  4 Sm 2.33

Results
VASP energy (eV/atom): -4.85
Symmetry: P4/nmm, No. 129
Uncorrected formation energy (eV per atom): -1.9725
N(E_F) (states/eV/f.u.): 0.3
Size of the total moment (μB/f.u.): 0.00



Record 5
The following is a PBE-GGA calculation of an optimized crystal structure of Cd13In3, from Alexandria via LeMat-Bulk.

abc: 8.0237 8.0237 5.9664
angles: 90.00 90.00 90.00
Last column: nearest neighbours and their distance in Å.
Fractional coordinates of all 16 atoms:
Cd (0.4963, 0.9970, 0.2507)  9 Cd 2.98-3.24, 1 In 3.24
Cd (0.4965, 0.5035, 0.2505)  9 Cd 2.98-3.17, 1 In 3.18
Cd (0.0030, 0.5037, 0.2507)  9 Cd 2.98-3.24, 1 In 3.24
Cd (0.7435, 0.7443, 0.0000)  8 Cd 2.98-3.21, 2 In 3.27
Cd (0.2557, 0.2565, 0.0000)  8 Cd 2.98-3.21, 2 In 3.27
Cd (0.2568, 0.7432, 0.0000)  8 Cd 2.98-3.17, 2 In 3.23
Cd (0.4963, 0.9970, 0.7493)  9 Cd 2.98-3.24, 1 In 3.24
Cd (0.4965, 0.5035, 0.7495)  9 Cd 2.98-3.17, 1 In 3.18
Cd (0.0030, 0.5037, 0.7493)  9 Cd 2.98-3.24, 1 In 3.24
Cd (0.7428, 0.2572, 0.5000)  4 In 2.98-3.32, 6 Cd 3.17-3.24
Cd (0.7436, 0.7428, 0.5000)  8 Cd 2.98-3.21, 2 In 3.27
Cd (0.2572, 0.2564, 0.5000)  8 Cd 2.98-3.21, 2 In 3.27
Cd (0.2565, 0.7435, 0.5000)  8 Cd 2.98-3.17, 2 In 3.23
In (0.0043, 0.9957, 0.2504)  3 In 2.98-3.31, 7 Cd 3.23-3.32
In (0.7438, 0.2562, 0.0000)  8 Cd 2.98-3.24, 2 In 3.31
In (0.0043, 0.9957, 0.7496)  3 In 2.98-3.31, 7 Cd 3.23-3.32

Results
VASP energy (eV/atom): -1.23
Symmetry: Amm2, No. 38
N(E_F) (states/eV/f.u.): 4.9
Size of the total moment (μB/f.u.): 0.00
Formation enthalpy at 0 K (eV per atom): 0.02



Record 6
The following is a PBE-GGA calculation of an optimized crystal structure of ZrReNO2, from Alexandria via LeMat-Bulk.

abc: 3.9157 3.9157 3.9017
angles: 90.00 90.00 90.00
Last column: nearest neighbours and their distance in Å.
Fractional coordinates of all 5 atoms:
Re (0.0000, 0.0000, 0.0000)  2 N 1.95, 4 O 1.96
O (0.0000, 0.5000, 0.0000)  2 Re 1.96
O (0.5000, 0.0000, 0.0000)  2 Re 1.96
Zr (0.5000, 0.5000, 0.5000)  8 O 2.76, 4 N 2.77
N (0.0000, 0.0000, 0.5000)  2 Re 1.95

Results
VASP energy (eV/atom): -8.63
Symmetry: P4/mmm, No. 123
Uncorrected formation energy (eV per atom): -0.7790
N(E_F) (states/eV/f.u.): 4.1
Size of the total moment (μB/f.u.): 0.00



Record 7
The following is a PBE-GGA calculation of an optimized crystal structure of Cd2Hg5Pb2, from Alexandria via LeMat-Bulk.

abc: 3.2491 6.9213 11.9666
angles: 74.17 103.50 84.99
Last column: nearest neighbours and their distance in Å.
Fractional coordinates of all 9 atoms:
Cd (0.8043, 0.5662, 0.0915)  4 Cd 2.99-3.25, 4 Hg 3.04-3.08
Cd (0.1957, 0.4338, 0.9085)  4 Cd 2.99-3.25, 4 Hg 3.04-3.08
Hg (0.4605, 0.6504, 0.2925)  2 Cd 3.04-3.05, 2 Pb 3.13-3.40, 3 Hg 3.15-3.25
Hg (0.5395, 0.3496, 0.7075)  2 Cd 3.04-3.05, 2 Pb 3.13-3.40, 3 Hg 3.15-3.25
Hg (0.8924, 0.8842, 0.7665)  1 Cd 3.06, 4 Hg 3.06-3.25, 1 Pb 3.15
Hg (0.1076, 0.1158, 0.2335)  1 Cd 3.06, 4 Hg 3.06-3.25, 1 Pb 3.15
Hg (0.0000, 0.0000, 0.0000)  4 Hg 3.06-3.25, 2 Cd 3.08
Pb (0.8234, 0.7682, 0.5270)  4 Hg 3.13-3.45, 4 Pb 3.25-3.49
Pb (0.1766, 0.2318, 0.4730)  4 Hg 3.13-3.45, 4 Pb 3.25-3.49

Results
VASP energy (eV/atom): -1.16
Symmetry: P-1, No. 2
N(E_F) (states/eV/f.u.): 2.5
Size of the total moment (μB/f.u.): 0.00
Formation enthalpy at 0 K (eV per atom): 0.03



Record 8
The following is a PBE-GGA calculation of an optimized crystal structure of BeP2CCl, from Alexandria via LeMat-Bulk.

abc: 4.6395 3.9265 4.6395
angles: 90.00 90.00 90.00
Last column: nearest neighbours and their distance in Å.
Fractional coordinates of all 5 atoms:
P (0.0000, 0.0000, 0.5000)  2 Cl 2.32
P (0.5000, 0.0000, 0.0000)  2 Cl 2.32
C (0.5000, 0.5000, 0.5000)  8 P 3.04, 4 Be 3.28
Be (0.0000, 0.5000, 0.0000)  2 Cl 1.96
Cl (0.0000, 0.0000, 0.0000)  2 Be 1.96

Results
VASP energy (eV/atom): -2.67
Symmetry: P4/mmm, No. 123
Uncorrected formation energy (eV per atom): 2.4554
N(E_F) (states/eV/f.u.): 3.5
Size of the total moment (μB/f.u.): 0.00